Record 1
Compound: Cs2PuCl7
Source: Alexandria via LeMat-Bulk
Functional: PBE-GGA
Structure: relaxed

Geometry as POSCAR:
```
Cs2PuCl7
1.0
8.1414 0.0000 0.0000
4.0707 7.0507 0.0000
4.0707 2.3502 6.6475
Cs Pu Cl
2 1 7
direct
0.2500 0.2500 0.2500
0.7500 0.7500 0.7500
0.0000 0.0000 0.0000
0.5000 0.5000 0.5000
0.2225 0.7775 0.7775
0.2225 0.7775 0.2225
0.7775 0.2225 0.7775
0.7775 0.7775 0.2225
0.2225 0.2225 0.7775
0.7775 0.2225 0.2225
```

Results
Its raw formation energy is -1.5964 eV per atom. As for the space group: Fm-3m. Its final energy is -4.493 eV per atom. Its density of states at the Fermi level is 1.6107 states/eV per atom.


Record 2
Compound: ZrNb2N
Source: Alexandria via LeMat-Bulk
Functional: PBE-GGA
Structure: relaxed

Geometry as POSCAR:
```
ZrNb2N
1.0
3.1187 0.0000 0.0000
1.5594 2.7009 0.0000
1.5594 0.9003 8.0395
Nb Zr N
2 1 1
direct
0.1158 0.1158 0.6526
0.8842 0.8842 0.3474
0.0000 0.0000 0.0000
0.5000 0.5000 0.5000
```

Results
Its raw formation energy is -0.2404 eV per atom. As for the space group: R-3m. Its final energy is -9.494 eV per atom. Its density of states at the Fermi level is 0.4484 states/eV per atom.


Record 3
Compound: Pr2Be3ZnPt4
Source: Alexandria via LeMat-Bulk
Functional: PBE-GGA
Structure: relaxed

Geometry as POSCAR:
```
Pr2Be3ZnPt4
1.0
4.0990 0.0000 0.0000
0.0000 4.0990 0.0000
0.0000 0.0000 10.1263
Pr Be Zn Pt
2 3 1 4
direct
0.5000 0.0000 0.2440
0.0000 0.5000 0.7560
0.0000 0.0000 0.5000
0.5000 0.0000 0.8848
0.0000 0.5000 0.1152
0.5000 0.5000 0.5000
0.5000 0.5000 0.0000
0.0000 0.0000 0.0000
0.5000 0.0000 0.6460
0.0000 0.5000 0.3540
```

Results
As for the energy of formation from the pure elements: -18.93 kcal/mol of atoms. As for the space group: P-4m2. Its final energy is -5.438 eV per atom. Its density of states at the Fermi level is 0.4439 states/eV per atom.


Record 4
Compound: B5C7
Source: Alexandria via LeMat-Bulk
Functional: PBE-GGA
Structure: relaxed

Geometry as POSCAR:
```
B5C7
1.0
2.5785 0.0000 0.0000
0.0000 4.1286 0.0000
0.0000 0.0000 7.3620
B C
5 7
direct
0.5000 0.4703 0.1667
0.5000 0.7902 0.0142
0.5000 0.4742 0.5110
0.5000 0.7902 0.3191
0.5000 0.4742 0.8224
0.0000 0.2345 0.1667
0.0000 0.0299 0.9987
0.0000 0.2225 0.5022
0.0000 0.0299 0.3346
0.0000 0.2225 0.8311
0.0000 0.9892 0.6667
0.5000 0.7723 0.6667
```

Results
The value obtained for the polymorph energy (0 for the lowest one) is 62 meV per atom. As for the energy of formation from the pure elements: 7.38 kcal/mol of atoms. As for the space group: Pmm2. Its final energy is -7.843 eV per atom. Its density of states at the Fermi level is 0.1174 states/eV per atom.


Record 5
Compound: Ba4S2I3
Source: Alexandria via LeMat-Bulk
Functional: PBE-GGA
Structure: relaxed

Geometry as POSCAR:
```
Ba4S2I3
1.0
-1.3121 1.8894 -4.0246
1.2139 -8.4006 -1.6698
-10.0683 -0.2278 3.1756
Ba S I
4 2 3
direct
0.3554 0.7108 0.1113
0.8370 0.6741 0.6988
0.1630 0.3259 0.3012
0.6446 0.2892 0.8887
0.7376 0.4752 0.1631
0.2624 0.5248 0.8369
0.6295 0.2589 0.5368
0.0000 0.0000 0.0000
0.3705 0.7411 0.4632
```

Results
Its raw formation energy is -1.7275 eV per atom. As for the space group: C2/m. Its final energy is -4.016 eV per atom. Its density of states at the Fermi level is 0.5178 states/eV per atom.


Record 6
Compound: Ce2Ga4CoIr3
Source: Alexandria via LeMat-Bulk
Functional: PBE-GGA
Structure: relaxed

Geometry as POSCAR:
```
Ce2Ga4CoIr3
1.0
-2.1159 3.3882 -1.2855
-2.9722 -2.4741 -1.6291
-5.1178 0.2198 9.0031
Ce Ga Co Ir
2 4 1 3
direct
0.5000 0.0000 0.2601
0.0000 0.5000 0.7399
0.5000 0.5000 0.0000
0.0000 0.0000 0.0000
0.5000 0.0000 0.6215
0.0000 0.5000 0.3785
0.5000 0.5000 0.5000
0.0000 0.0000 0.5000
0.5000 0.0000 0.8609
0.0000 0.5000 0.1391
```

Results
As for the energy of formation from the pure elements: -14.20 kcal/mol of atoms. As for the space group: P-4m2. Its final energy is -6.382 eV per atom. Its density of states at the Fermi level is 1.1935 states/eV per atom.